VASP calculation (PBE-GGA) on a geometry-optimized Pr3Y5H12 structure.

Results
As for the raw total energy: -770.2 eV for the cell shown. For the density of states at the Fermi level, the calculation gives 0.760 states/eV per atom. The calculation puts the size of the total moment at 0.2 μB per cell.

Geometry as CIF:
```
data_Pr3Y5H12
_cell_length_a 13.382
_cell_length_b 13.382
_cell_length_c 13.382
_cell_angle_alpha 90.00
_cell_angle_beta 90.00
_cell_angle_gamma 90.00
_symmetry_space_group_name_H-M 'I a -3 d'
_symmetry_Int_Tables_number 230
_symmetry_space_group_name_Hall '-I 4bd 2c 3'
loop_
_atom_site_label
_atom_site_fract_x
_atom_site_fract_y
_atom_site_fract_z
_atom_site_occupancy
Pr1 0.000 0.250 0.125 1
Y1 0.000 0.000 0.000 1
Y2 0.000 0.250 0.375 1
H1 0.009 0.067 0.652 1
```